The following is a DFT calculation (PBE) of LiBeRu after structural relaxation.

It has space group C2/m (No. 12), with a = 8.8534 Å, b = 2.8621 Å, c = 6.7019 Å, α = 90.00°, β = 121.09° and γ = 90.00°. The inequivalent atoms are Li at (0.1444, 0.0000, 0.0525), Be at (0.1217, 0.0000, 0.6567) and Ru at (0.1056, 0.5000, 0.3832).

As for the calculated total energy: -59.71 eV per cell. For the density of states at the Fermi level, the calculation gives 8.0 states/eV per cell. As for the polymorph energy (0 for the lowest one): 0.082 eV per atom. The crystal system is monoclinic. The calculation puts the formation energy at 0.00 eV/atom.

The following is a DFT calculation (PBE) of LiBeRu after structural relaxation.

It has space group P3m1 (No. 156), with a = 3.9899 Å, b = 3.9899 Å, c = 2.4799 Å, α = 90.00°, β = 90.00° and γ = 120.00°. The inequivalent atoms are Li at (0.0000, 0.0000, 0.0000), Be at (0.3333, 0.6667, 0.7491) and Ru at (0.6667, 0.3333, 0.4037).

As for the calculated total energy: -14.58 eV per cell. For the density of states at the Fermi level, the calculation gives 2.4 states/eV per cell. As for the polymorph energy (0 for the lowest one): 0.199 eV per atom. The crystal system is trigonal. The calculation puts the formation energy at 0.11 eV/atom.

The following is a DFT calculation (PBE) of LiBeRu after structural relaxation.

It has space group P3m1 (No. 156), with a = 2.6468 Å, b = 2.6468 Å, c = 6.2950 Å, α = 90.00°, β = 90.00° and γ = 120.00°. The inequivalent atoms are Li at (0.0000, 0.0000, 0.0000), Be at (0.3333, 0.6667, 0.6419) and Ru at (0.6667, 0.3333, 0.3556).

As for the calculated total energy: -14.48 eV per cell. For the density of states at the Fermi level, the calculation gives 1.5 states/eV per cell. As for the polymorph energy (0 for the lowest one): 0.231 eV per atom. The crystal system is trigonal. The calculation puts the formation energy at 0.15 eV/atom.

The following is a DFT calculation (PBE) of LiBeRu after structural relaxation.

It has space group P4/nmm (No. 129, origin choice 2), with a = 3.1801 Å, b = 3.1801 Å, c = 6.6321 Å, α = 90.00°, β = 90.00° and γ = 90.00°. The inequivalent atoms are Li at (0.2500, 0.7500, 0.0000), Be at (0.2500, 0.2500, 0.2943) and Ru at (0.2500, 0.2500, 0.6476).

As for the calculated total energy: -29.72 eV per cell. For the density of states at the Fermi level, the calculation gives 3.7 states/eV per cell. As for the polymorph energy (0 for the lowest one): 0.105 eV per atom. The crystal system is tetragonal. The calculation puts the formation energy at 0.02 eV/atom.

The following is a DFT calculation (PBE) of LiBeRu2 after structural relaxation.

It has space group I-4m2 (No. 119), with a = 4.0678 Å, b = 4.0678 Å, c = 5.8516 Å, α = 90.00°, β = 90.00° and γ = 90.00°. The inequivalent atoms are Li at (0.0000, 0.0000, 0.0000), Be at (0.0000, 0.5000, 0.2500), Ru at (0.0000, 0.0000, 0.5000) and Ru at (0.0000, 0.5000, 0.7500).

As for the calculated total energy: -48.34 eV per cell. For the density of states at the Fermi level, the calculation gives 4.9 states/eV per cell. The crystal system is tetragonal. The calculation puts the formation energy at 0.00 eV/atom.

The following is a DFT calculation (PBE) of LiBeRu2 after structural relaxation.

It has space group Immm (No. 71), with a = 2.6678 Å, b = 4.3199 Å, c = 8.8974 Å, α = 90.00°, β = 90.00° and γ = 90.00°. The inequivalent atoms are Li at (0.0000, 0.0000, 0.0000), Be at (0.0000, 0.0000, 0.5000) and Ru at (0.0000, 0.5000, 0.2110).

As for the calculated total energy: -47.88 eV per cell. For the density of states at the Fermi level, the calculation gives 6.3 states/eV per cell. The crystal system is orthorhombic. The calculation puts the formation energy at 0.06 eV/atom.